# Be4HgSb

An optimized crystal structure of Be4HgSb (PBE-GGA, Alexandria via LeMat-Bulk).

Computed properties:
Spin magnetization in μB per cell: 0.0
Uncorrected formation energy in eV per atom: 0.58
E in eV per atom: -2.64
Space-group type: F-43m

a = 4.926 Å, b = 4.926 Å, c = 4.926 Å
α = 60.00°, β = 60.00°, γ = 60.00°
Positions (direct):
Hg  0.250  0.250  0.250
Be  0.125  0.625  0.625
Be  0.625  0.125  0.625
Be  0.625  0.625  0.625
Be  0.625  0.625  0.125
Sb  0.000  0.000  0.000